1.
This record from Alexandria via LeMat-Bulk describes a relaxed structure of CaIr2Pb. The functional is PBE.

Cell and atoms, written as CIF:
```
data_CaIr2Pb
_chemical_formula_sum 'Ca1 Ir2 Pb1'
_space_group_name_H-M_alt 'P 1 m 1'
_space_group_IT_number 6
_space_group_name_Hall 'P -2y'
_cell_length_a 4.4932
_cell_length_b 4.3839
_cell_length_c 5.2871
_cell_angle_alpha 90.00
_cell_angle_beta 114.66
_cell_angle_gamma 90.00
loop_
_atom_site_label
_atom_site_fract_x
_atom_site_fract_y
_atom_site_fract_z
Ca1 0.0000 0.0000 0.0000
Ir1 0.2567 0.0000 0.6047
Ir2 0.4387 0.5000 0.8039
Pb1 0.7297 0.5000 0.3985
```

Fermi-level density of states: 3.45 states/eV/f.u.
Formation enthalpy at 0 K: -0.0051 eV per atom



2.
This record from Alexandria via LeMat-Bulk describes a relaxed structure of CaIr2Pb. The functional is PBE.

Cell and atoms, written as CIF:
```
data_CaIr2Pb
_chemical_formula_sum 'Ca2 Ir4 Pb2'
_space_group_name_H-M_alt 'I m m 2'
_space_group_IT_number 44
_space_group_name_Hall 'I 2 -2'
_cell_length_a 3.0432
_cell_length_b 4.8507
_cell_length_c 10.9996
_cell_angle_alpha 90.00
_cell_angle_beta 90.00
_cell_angle_gamma 90.00
loop_
_atom_site_label
_atom_site_fract_x
_atom_site_fract_y
_atom_site_fract_z
Ca1 0.0000 0.0000 0.0000
Ir1 0.0000 0.0000 0.4800
Ir2 0.0000 0.5000 0.7840
Pb1 0.0000 0.5000 0.2084
```

Fermi-level density of states: 3.39 states/eV/f.u.
Formation enthalpy at 0 K: 0.0742 eV per atom



3.
This record from Alexandria via LeMat-Bulk describes a relaxed structure of CaIrPb4. The functional is PBE.

Cell and atoms, written as CIF:
```
data_CaIrPb4
_chemical_formula_sum 'Ca4 Ir4 Pb16'
_space_group_name_H-M_alt 'F -4 3 m'
_space_group_IT_number 216
_space_group_name_Hall 'F -4 2 3'
_cell_length_a 8.8892
_cell_length_b 8.8892
_cell_length_c 8.8892
_cell_angle_alpha 90.00
_cell_angle_beta 90.00
_cell_angle_gamma 90.00
loop_
_atom_site_label
_atom_site_fract_x
_atom_site_fract_y
_atom_site_fract_z
Ca1 0.0000 0.0000 0.0000
Ir1 0.2500 0.2500 0.7500
Pb1 0.1243 0.1243 0.3757
```

Fermi-level density of states: 4.72 states/eV/f.u.
Formation enthalpy at 0 K: 0.4895 eV per atom



4.
This record from Alexandria via LeMat-Bulk describes a relaxed structure of CaIr2Pb. The functional is PBE.

Cell and atoms, written as CIF:
```
data_CaIr2Pb
_chemical_formula_sum 'Ca1 Ir2 Pb1'
_space_group_name_H-M_alt 'P 1 2/m 1'
_space_group_IT_number 10
_space_group_name_Hall '-P 2y'
_cell_length_a 3.1725
_cell_length_b 4.3863
_cell_length_c 6.0715
_cell_angle_alpha 90.00
_cell_angle_beta 90.44
_cell_angle_gamma 90.00
loop_
_atom_site_label
_atom_site_fract_x
_atom_site_fract_y
_atom_site_fract_z
Ca1 0.0000 0.0000 0.0000
Ir1 0.4947 0.5000 0.7900
Pb1 0.5000 0.0000 0.5000
```

Fermi-level density of states: 4.02 states/eV/f.u.
Formation enthalpy at 0 K: 0.1841 eV per atom